1.
## CsAcMnS4 (PBE)

Data for a relaxed CsAcMnS4 crystal.

Computed properties:
Raw formation energy ... -1.290 eV per atom
V ... 30.35 Å³/atom
Symmetry ... P2_1/m (11)

Structure (extended XYZ):
```
14
Lattice="7.071 0.000 0.086 0.000 6.516 0.000 -2.695 0.000 9.191" Properties=species:S:1:pos:R:3 pbc="T T T"
Ac 0.246 1.629 5.051
Ac 4.130 4.887 4.226
S 6.253 3.259 2.750
S -1.877 0.002 6.527
S 6.253 6.514 2.750
S 1.936 1.629 7.474
S 1.213 4.887 5.074
S 3.163 1.629 4.203
S -1.877 3.256 6.527
S 2.440 4.887 1.802
Cs 2.611 4.887 8.716
Cs 1.765 1.629 0.561
Mn 0.602 4.887 2.972
Mn 3.774 1.629 6.305
```

---

2.
## CaHfCr2Pd (PBE)

Data for a relaxed CaHfCr2Pd crystal.

Computed properties:
DFT formation energy ... 6.80 eV per formula unit
V ... 21.48 Å³/atom
Symmetry ... P4/mmm (123)

Structure (extended XYZ):
```
5
Lattice="4.676 0.000 0.000 0.000 4.911 0.000 0.000 0.000 4.676" Properties=species:S:1:pos:R:3 pbc="T T T"
Cr 0.000 0.000 2.338
Cr 2.338 0.000 0.000
Pd 0.000 0.000 0.000
Hf 2.338 2.455 2.338
Ca 0.000 2.455 0.000
```